1.
CrIn2P meta-GGA SCAN PBEsol geometry; total DFT energy (no corrections) = -95.0 eV for the cell shown; DFT formation energy = 0.137 eV per atom
1.0
-2.9785 0.6723 0.0376
-0.6632 -3.1375 3.5604
2.5827 4.3940 2.0241
In P Cr
2 1 1
direct
0.9644 0.9275 0.9288
0.7601 0.2801 0.5202
0.5599 0.5279 0.1198
0.2156 0.7646 0.4311

2.
Na2P2Au meta-GGA SCAN PBEsol geometry; total DFT energy (no corrections) = -97.7 eV for the cell shown; energy above the lowest structure with this stoichiometry = 2.80 eV per formula unit; DFT formation energy = 0.141 eV per atom
1.0
-0.1302 4.0865 -0.4000
-1.9512 0.2906 3.6035
6.0928 -1.7632 1.0996
Na P Au
2 2 1
direct
0.7500 0.2500 0.5000
0.2500 0.7500 0.5000
0.5885 0.5885 0.1769
0.4115 0.4115 0.8231
0.0000 0.0000 0.0000

3.
NaMoBr3 meta-GGA SCAN PBEsol geometry; formation energy (no corrections) = 0.115 eV/atom; total DFT energy (no corrections) = -96.9 eV for the cell shown
1.0
-3.4380 3.5538 -1.4826
0.3725 -1.6713 -4.8699
-3.8326 -3.3504 0.8566
Br Mo Na
3 1 1
direct
0.0000 0.5000 0.0000
0.0000 0.0000 0.5000
0.5000 0.0000 0.0000
0.5000 0.5000 0.5000
0.0000 0.0000 0.0000

no.,N(E_F) (states/eV per cell)
1,1.95
2,2.16
3,6.01